# Pr5Tl2Bi2 PBE optimized geometry
# Formation energy from the elements ... -0.63 eV/atom
# D(E_F) ... 29.67 states/eV/cell
# Calculated density ... 8.5 Mg/m³
# Total magnetization ... 0.00 μB/f.u.
data_Pr5Tl2Bi2
_chemical_formula_sum 'Pr20 Tl8 Bi8'
_cell_length_a 16.4219
_cell_length_b 8.5712
_cell_length_c 8.5454
_cell_angle_alpha 90.00
_cell_angle_beta 90.00
_cell_angle_gamma 90.00
_symmetry_space_group_name_H-M 'C m c e'
_symmetry_Int_Tables_number 64
_symmetry_space_group_name_Hall '-C 2ac 2'
loop_
_atom_site_label
_atom_site_type_symbol
_atom_site_fract_x
_atom_site_fract_y
_atom_site_fract_z
Pr1 Pr 0.0000 0.0000 0.0000
Pr2 Pr 0.1369 0.1726 0.3324
Tl1 Tl 0.0000 0.1288 0.6271
Bi1 Bi 0.2039 0.0000 0.0000